The following is a DFT calculation (PBE+U) of a relaxed structure of VAgPdO2.

Distance to the lowest polymorph of the same formula ... 0.000 eV per atom
SG ... P4/mmm, No. 123

The structure in extended XYZ format:
```
5
Lattice="3.726 0.000 0.000 0.000 3.726 0.000 0.000 0.000 5.473" Properties=species:S:1:pos:R:3 pbc="T T T"
V 0.000 0.000 0.000
Ag 0.000 0.000 2.737
Pd 1.863 1.863 2.737
O 0.000 1.863 0.000
O 1.863 0.000 0.000
```